Entry 1:
Below is a crystal of MnBeAu2 relaxed with PBEsol, with properties calculated at the meta-GGA SCAN level.

Unit cell a=2.9124 b=2.9124 c=6.5954 alpha=90.00 beta=90.00 gamma=90.00
With the nearest neighbours (Å) after each atom.
Space group P4/mmm (No. 123)
Asymmetric unit:
Mn 0.0000 0.0000 0.0000 (multiplicity 1)  8 Au 2.77, 4 Mn 2.91
Be 0.0000 0.0000 0.5000 (multiplicity 1)  8 Au 2.51
Au 0.5000 0.5000 0.2811 (multiplicity 2)  4 Be 2.51, 4 Mn 2.77

Summary:
DOS(E_F) in states/eV/f.u.: 1.2
Formation enthalpy at 0 K in eV per atom: -0.398


Entry 2:
Below is a crystal of Zn5Cu3 relaxed with PBEsol, with properties calculated at the meta-GGA SCAN level.

Unit cell a=9.3920 b=9.3920 c=4.6947 alpha=90.00 beta=90.00 gamma=90.00
With the nearest neighbours (Å) after each atom.
Space group I4/mcm (No. 140)
Asymmetric unit:
Zn 0.0000 0.5000 0.2500 (multiplicity 4)  2 Zn 2.35, 4 Cu 2.58
Zn 0.0736 0.2284 0.0000 (multiplicity 16)  6 Cu 2.44-2.69, 3 Zn 2.63-2.72
Cu 0.0000 0.0000 0.2500 (multiplicity 4)  2 Cu 2.35, 8 Zn 2.54
Cu 0.1728 0.3272 0.5000 (multiplicity 8)  10 Zn 2.44-2.69

Summary:
DOS(E_F) in states/eV/f.u.: 1.2
Formation enthalpy at 0 K in eV per atom: -0.045


Entry 3:
Below is a crystal of BaLiTl2 relaxed with PBEsol, with properties calculated at the meta-GGA SCAN level.

Unit cell a=4.8376 b=4.8376 c=18.0913 alpha=90.00 beta=90.00 gamma=120.00
With the nearest neighbours (Å) after each atom.
Space group R3m (No. 160, hexagonal axes)
Asymmetric unit:
Ba 0.0000 0.0000 0.0000 (multiplicity 3)  4 Li 3.43-3.81, 7 Tl 3.55-3.84
Li 0.0000 0.0000 0.1898 (multiplicity 3)  6 Tl 2.80-3.06
Tl 0.0000 0.0000 0.5325 (multiplicity 3)  3 Li 2.80, 3 Tl 3.13
Tl 0.0000 0.0000 0.7879 (multiplicity 3)  3 Li 3.06, 3 Tl 3.13

Summary:
DOS(E_F) in states/eV/f.u.: 2.0
Formation enthalpy at 0 K in eV per atom: -0.470


Entry 4:
Below is a crystal of LiBeAu2 relaxed with PBEsol, with properties calculated at the meta-GGA SCAN level.

Unit cell a=3.0772 b=3.9943 c=8.8890 alpha=90.00 beta=90.00 gamma=90.00
With the nearest neighbours (Å) after each atom.
Space group Imm2 (No. 44)
Asymmetric unit:
Li 0.0000 0.0000 0.0000 (multiplicity 2)  6 Au 2.55-2.83, 2 Be 2.74
Be 0.0000 0.5000 0.2444 (multiplicity 2)  6 Au 2.36-2.54
Au 0.0000 0.0000 0.5433 (multiplicity 2)  2 Be 2.36, 4 Li 2.55
Au 0.0000 0.5000 0.7748 (multiplicity 2)  4 Be 2.54, 2 Li 2.83, 2 Au 2.84

Summary:
DOS(E_F) in states/eV/f.u.: 1.0
Formation enthalpy at 0 K in eV per atom: -0.419


Entry 5:
Below is a crystal of Ca3Ga4Ni4 relaxed with PBEsol, with properties calculated at the meta-GGA SCAN level.

Unit cell a=7.2860 b=7.2860 c=7.2860 alpha=90.00 beta=90.00 gamma=90.00
With the nearest neighbours (Å) after each atom.
Space group I-43m (No. 217)
Asymmetric unit:
Ca 0.0000 0.0000 0.5000 (multiplicity 6)  4 Ga 3.00, 4 Ni 3.03
Ga 0.1953 0.1953 0.8047 (multiplicity 8)  4 Ni 2.30-2.43
Ni 0.1222 0.1222 0.1222 (multiplicity 8)  4 Ga 2.30-2.43, 3 Ni 2.52

Summary:
DOS(E_F) in states/eV/f.u.: 4.5
Formation enthalpy at 0 K in eV per atom: -0.547


Entry 6:
Below is a crystal of CuTe relaxed with PBEsol, with properties calculated at the meta-GGA SCAN level.

Unit cell a=11.2271 b=4.0658 c=6.5203 alpha=90.00 beta=105.80 gamma=90.00
With the nearest neighbours (Å) after each atom.
Space group Cm (No. 8)
Asymmetric unit:
Cu 0.0000 0.0000 0.0000 (multiplicity 2)  3 Te 2.48-2.61, 3 Cu 2.50-2.56
Cu 0.0288 0.5000 0.7964 (multiplicity 2)  4 Cu 2.48-2.50, 2 Te 2.60
Cu 0.4415 0.5000 0.5913 (multiplicity 2)  3 Cu 2.48-2.56, 3 Te 2.52-2.60
Te 0.0133 0.5000 0.2231 (multiplicity 2)  2 Cu 2.48
Te 0.1736 0.0000 0.8036 (multiplicity 2)  4 Cu 2.60-2.61
Te 0.3161 0.0000 0.4370 (multiplicity 2)  2 Cu 2.52

Summary:
Uncorrected formation energy in eV per formula unit: 0.0
DOS(E_F) in states/eV/f.u.: 0.8


no.,VASP energy (eV/atom)
1,-40.63
2,-14.19
3,-47.13
4,-36.68
5,-15.01
6,-26.21